1.
First-principles (GGA-PBE) data for an optimized crystal structure of RbPa2I6, as listed in the Alexandria database.

Values from the calculation:
ΔE_f (raw): -0.9246 eV per atom

a = 16.5784 Å, b = 4.1563 Å, c = 13.3851 Å
α = 90.00°, β = 113.41°, γ = 90.00°
Space group C2/m (No. 12)
One atom of each set of equivalent atoms:
Rb (0.0000, 0.0000, 0.0000)
Pa (0.1961, 0.5000, 0.3768)
I (0.0390, 0.0000, 0.2936)
I (0.1496, 0.5000, 0.5832)
I (0.1907, 0.5000, 0.1430)

2.
First-principles (GGA-PBE) data for an optimized crystal structure of TmTh2ZrSc4, as listed in the Alexandria database.

Values from the calculation:
ΔH_f (0 K): 0.064 eV per atom

a = 5.8990 Å, b = 3.3888 Å, c = 10.8728 Å
α = 90.00°, β = 100.11°, γ = 90.00°
Space group P2/m (No. 10)
One atom of each set of equivalent atoms:
Tm (0.0000, 0.0000, 0.0000)
Th (0.0000, 0.5000, 0.5000)
Th (0.5000, 0.0000, 0.5000)
Zr (0.5000, 0.5000, 0.0000)
Sc (0.2595, 0.5000, 0.2477)
Sc (0.2626, 0.0000, 0.7577)

3.
First-principles (GGA-PBE) data for an optimized crystal structure of KBa2Cr, as listed in the Alexandria database.

Values from the calculation:
ΔH_f (0 K): 0.441 eV per atom
ΔE to the lowest computed polymorph: 0 meV per atom

a = 4.2366 Å, b = 4.2369 Å, c = 11.3780 Å
α = 90.00°, β = 90.06°, γ = 90.00°
Space group P2/m (No. 10)
One atom of each set of equivalent atoms:
K (0.0000, 0.0000, 0.0000)
Ba (0.4997, 0.5000, 0.3220)
Cr (0.0000, 0.0000, 0.5000)

4.
First-principles (GGA-PBE) data for an optimized crystal structure of PmOs, as listed in the Alexandria database.

Values from the calculation:
ΔH_f (0 K): -0.064 eV per atom

a = 4.5129 Å, b = 10.3518 Å, c = 4.3250 Å
α = 90.00°, β = 90.00°, γ = 90.00°
Space group Cmcm (No. 63)
One atom of each set of equivalent atoms:
Pm (0.0000, 0.1472, 0.2500)
Os (0.0000, 0.4499, 0.2500)